Run 1
A relaxed structure of La2TlZn, computed with PBE-GGA.

```
La2TlZn
1.0
3.902 0.000 0.000
0.000 5.466 0.000
0.000 0.000 5.510
La Tl Zn
2 1 1
Cartesian
0.000 0.000 0.000
0.000 2.733 2.575
1.951 2.733 5.278
1.951 0.000 2.779
```

Summary:
Crystal system: orthorhombic
Size of the total moment, μB/cell: 0.00
N(E_F), states/eV/f.u.: 5.87
Symmetry: Pmm2 (25)

Run 2
A relaxed structure of La2TlZn, computed with PBE-GGA.

```
La2TlZn
1.0
3.859 0.000 0.000
0.000 3.839 0.000
-0.014 0.000 7.843
La Tl Zn
2 1 1
Cartesian
-0.003 0.000 1.774
3.848 0.000 6.070
1.922 1.920 3.922
1.929 1.920 0.000
```

Summary:
Crystal system: monoclinic
Size of the total moment, μB/cell: 0.00
N(E_F), states/eV/f.u.: 4.14
Symmetry: P2/m (10)

Run 3
A relaxed structure of La2TlZn, computed with PBE-GGA.

```
La2TlZn
1.0
0.000 3.829 3.829
3.829 0.000 3.829
3.829 3.829 0.000
La Tl Zn
2 1 1
Cartesian
0.000 0.000 0.000
1.915 1.915 1.915
3.829 3.829 3.829
5.744 5.744 5.744
```

Summary:
Crystal system: cubic
Size of the total moment, μB/cell: 0.01
N(E_F), states/eV/f.u.: 6.90
Symmetry: F-43m (216)

Run 4
A relaxed structure of La2TlZn, computed with PBE-GGA.

```
La2TlZn
1.0
0.000 3.892 3.892
3.892 0.000 3.892
3.892 3.892 0.000
La Tl Zn
2 1 1
Cartesian
1.946 1.946 1.946
5.838 5.838 5.838
0.000 0.000 0.000
3.892 3.892 3.892
```

Summary:
Crystal system: cubic
Size of the total moment, μB/cell: 0.00
N(E_F), states/eV/f.u.: 5.43
Symmetry: Fm-3m (225)

Computed relative energies in units of kJ/mol of atoms: run 1 2.8; run 2 0.0; run 3 41.5; run 4 1.7

Run 1
A relaxed structure of LaTlZn3, computed with PBE-GGA.

```
LaTlZn3
1.0
5.142 0.000 0.000
0.000 5.142 0.000
0.000 0.000 5.142
La Tl Zn
1 1 3
Cartesian
0.000 0.000 0.000
2.571 2.571 2.571
0.000 2.571 2.571
2.571 0.000 2.571
2.571 2.571 0.000
```

Summary:
Crystal system: cubic
Size of the total moment, μB/cell: 0.00
N(E_F), states/eV/f.u.: 5.14
Symmetry: Pm-3m (221)

Run 2
A relaxed structure of LaTlZn3, computed with PBE-GGA.

```
LaTlZn3
1.0
5.778 0.000 0.000
0.000 5.778 0.000
0.000 0.000 5.778
La Tl Zn
1 1 3
Cartesian
0.000 0.000 0.000
2.889 2.889 2.889
0.000 0.000 2.889
0.000 2.889 0.000
2.889 0.000 0.000
```

Summary:
Crystal system: cubic
Size of the total moment, μB/cell: 0.00
N(E_F), states/eV/f.u.: 8.76
Symmetry: Pm-3m (221)

Computed relative energies in units of kJ/mol of atoms: run 1 0.0; run 2 40.8

Run 1
A relaxed structure of La2Tl2Zn, computed with PBE-GGA.

```
La2Tl2Zn
1.0
-2.132 2.132 8.656
2.132 -2.132 8.656
2.132 2.132 -8.656
La Tl Zn
2 2 1
Cartesian
0.000 0.000 1.558
0.000 0.000 15.754
2.132 0.000 4.328
0.000 2.132 4.328
0.000 0.000 8.656
```

Summary:
Crystal system: tetragonal
Size of the total moment, μB/cell: 0.00
N(E_F), states/eV/f.u.: 3.87
Symmetry: I4/mmm (139)

Run 2
A relaxed structure of La2Tl2Zn, computed with PBE-GGA.

```
La2Tl2Zn
1.0
8.983 0.000 0.000
0.000 8.983 0.000
0.000 0.000 4.029
La Tl Zn
4 4 2
Cartesian
1.590 2.902 0.000
2.902 7.393 0.000
6.081 1.590 0.000
7.393 6.081 0.000
1.116 5.607 2.014
3.376 1.116 2.014
5.607 7.867 2.014
7.867 3.376 2.014
0.000 0.000 0.000
4.491 4.491 0.000
```

Summary:
Crystal system: tetragonal
Size of the total moment, μB/cell: 0.00
N(E_F), states/eV/f.u.: 7.34
Symmetry: P4/mbm (127)

Run 3
A relaxed structure of La2Tl2Zn, computed with PBE-GGA.

```
La2Tl2Zn
1.0
7.674 0.000 0.000
0.000 7.674 0.000
0.000 0.000 5.024
La Tl Zn
4 4 2
Cartesian
1.275 2.562 0.000
2.562 6.398 0.000
5.112 1.275 0.000
6.398 5.112 0.000
1.097 4.934 2.512
2.740 1.097 2.512
4.934 6.577 2.512
6.577 2.740 2.512
0.000 0.000 2.512
3.837 3.837 2.512
```

Summary:
Crystal system: tetragonal
Size of the total moment, μB/cell: 0.00
N(E_F), states/eV/f.u.: 3.71
Symmetry: P4/mbm (127)

Computed relative energies in units of kJ/mol of atoms: run 1 25.5; run 2 13.7; run 3 0.0

Run 1
A relaxed structure of La6Tl3Zn, computed with PBE-GGA.

```
La6Tl3Zn
1.0
9.727 0.000 0.000
0.000 5.505 0.000
-3.535 0.000 11.683
La Tl Zn
12 6 2
Cartesian
-1.186 1.376 4.776
0.972 4.129 2.043
2.579 1.376 0.068
0.597 4.129 9.662
2.409 1.376 4.141
1.817 1.376 7.265
4.375 4.129 4.418
3.783 4.129 7.542
5.596 1.376 2.021
3.613 4.129 11.615
5.221 1.376 9.640
7.379 4.129 6.907
-2.782 4.129 10.324
-1.267 1.376 8.457
0.917 4.129 5.518
5.275 1.376 6.165
7.460 4.129 3.226
8.974 1.376 1.359
4.075 4.129 1.237
2.118 1.376 10.446
```

Summary:
Crystal system: monoclinic
Size of the total moment, μB/cell: 0.00
N(E_F), states/eV/f.u.: 10.31
Symmetry: P2_1/m (11)

Run 2
A relaxed structure of La6Tl3Zn, computed with PBE-GGA.

```
La6Tl3Zn
1.0
5.564 0.000 0.000
0.000 9.629 0.000
-5.559 0.000 12.174
La Tl Zn
12 6 2
Cartesian
-0.001 1.493 0.854
-2.780 3.321 6.941
0.007 4.835 3.138
-2.773 9.609 9.225
0.002 1.701 5.230
-2.777 3.113 11.317
2.783 6.516 0.857
0.003 7.928 6.945
2.778 0.020 2.949
-0.001 4.794 9.036
2.786 6.308 5.233
0.006 8.135 11.321
-2.779 0.000 6.087
0.000 4.814 0.000
-2.784 6.400 9.133
-0.004 8.043 3.045
0.010 1.586 9.129
2.789 3.229 3.042
2.782 0.000 0.000
0.003 4.814 6.087
```

Summary:
Crystal system: monoclinic
Size of the total moment, μB/cell: 0.00
N(E_F), states/eV/f.u.: 12.69
Symmetry: P2_1/c (14)

Computed relative energies in units of kJ/mol of atoms: run 1 0.0; run 2 4.9

Run 1
A relaxed structure of La3TlZn, computed with PBE-GGA.

```
La3TlZn
1.0
2.777 -10.013 0.000
2.777 10.013 0.000
0.000 0.000 5.533
La Tl Zn
6 2 2
Cartesian
2.777 8.859 4.150
2.777 5.055 4.150
2.777 1.300 4.150
2.777 -1.300 1.383
2.777 -5.055 1.383
2.777 -8.859 1.383
2.777 6.945 1.383
2.777 -6.945 4.150
2.777 2.984 1.383
2.777 -2.984 4.150
```

Summary:
Crystal system: orthorhombic
Size of the total moment, μB/cell: 0.00
N(E_F), states/eV/f.u.: 6.17
Symmetry: Cmcm (63)

Run 2
A relaxed structure of La3TlZn, computed with PBE-GGA.

```
La3TlZn
1.0
5.679 0.000 0.000
0.000 5.679 0.000
0.000 0.000 5.679
La Tl Zn
3 1 1
Cartesian
0.000 0.000 2.840
0.000 2.840 0.000
2.840 0.000 0.000
2.840 2.840 2.840
0.000 0.000 0.000
```

Summary:
Crystal system: cubic
Size of the total moment, μB/cell: 1.30
N(E_F), states/eV/f.u.: 10.06
Symmetry: Pm-3m (221)

Computed relative energies in units of kJ/mol of atoms: run 1 0.0; run 2 33.0